! SrGaCu4 | Alexandria | PBE | relaxed; values from VASP
&SYSTEM
  ibrav = 0, nat = 12, ntyp = 3
/
ATOMIC_SPECIES
Cu 63.55 Cu.upf
Ga 69.72 Ga.upf
Sr 87.62 Sr.upf
ATOMIC_POSITIONS angstrom
Cu -0.6821 -0.0278 2.6460
Cu -0.6157 2.8854 5.8064
Cu 0.6431 2.1252 3.2070
Cu 4.2295 0.7771 1.6249
Cu 4.2958 3.6903 4.7853
Cu 0.5388 0.7074 5.2708
Cu 2.9706 1.5373 4.2243
Cu 3.0749 2.9551 2.1606
Ga -1.8455 1.8684 3.6780
Ga 1.7906 -0.3350 3.1679
Sr 5.9191 3.1896 0.8825
Sr -2.3054 0.4729 6.5488
CELL_PARAMETERS angstrom
7.3048 -0.0742 0.0753
0.0324 4.3325 1.0955
-3.7235 -0.5958 6.2606
! **Calculated formation energy**: -0.4 eV per formula unit
! **Density of states at the Fermi level**: 3.4 states/eV/cell
! **SG**: C2/c (15)

! Sr2Ga5Cu3 | Alexandria | PBE | relaxed; values from VASP
&SYSTEM
  ibrav = 0, nat = 10, ntyp = 3
/
ATOMIC_SPECIES
Ga 69.72 Ga.upf
Sr 87.62 Sr.upf
Cu 63.55 Cu.upf
ATOMIC_POSITIONS angstrom
Ga 0.0000 0.0000 0.0000
Ga -0.2187 2.1951 5.6335
Ga 0.2798 -1.8811 2.4602
Ga 1.5323 0.4805 2.1583
Ga -2.2493 5.7907 6.6486
Sr -1.6605 0.9750 2.8995
Sr 0.9434 5.2961 5.9074
Cu -2.0119 3.8487 5.1367
Cu 1.2948 2.4225 3.6702
Cu -0.4984 4.0761 3.1733
CELL_PARAMETERS angstrom
-2.8027 -2.2884 2.4992
3.3622 -1.4737 2.4211
-0.9968 8.1523 6.3467
! **Calculated formation energy**: -3.1 eV per formula unit
! **Density of states at the Fermi level**: 4.3 states/eV/cell
! **SG**: P-4m2 (115)

! Sr2Ga4Cu5 | Alexandria | PBE | relaxed; values from VASP
&SYSTEM
  ibrav = 0, nat = 11, ntyp = 3
/
ATOMIC_SPECIES
Cu 63.55 Cu.upf
Sr 87.62 Sr.upf
Ga 69.72 Ga.upf
ATOMIC_POSITIONS angstrom
Cu 1.4084 2.4809 0.0000
Cu 7.0422 2.4809 3.7463
Cu 4.2253 2.4809 0.0000
Cu 2.8169 0.0000 0.0000
Cu 4.2253 2.4809 3.7463
Sr 2.8169 0.0000 5.3855
Sr 5.6338 0.0000 2.1072
Ga 8.4507 3.3618 5.5875
Ga 2.8169 1.6001 1.9052
Ga 5.6338 1.6001 5.5875
Ga 5.6338 3.3618 1.9052
CELL_PARAMETERS angstrom
5.6338 0.0000 0.0000
2.8169 4.9618 0.0000
2.8169 0.0000 7.4927
! **Calculated formation energy**: -2.7 eV per formula unit
! **Density of states at the Fermi level**: 4.5 states/eV/cell
! **SG**: Fmmm (69)

! SrGaCu2 | Alexandria | PBE | relaxed; values from VASP
&SYSTEM
  ibrav = 0, nat = 8, ntyp = 3
/
ATOMIC_SPECIES
Ga 69.72 Ga.upf
Cu 63.55 Cu.upf
Sr 87.62 Sr.upf
ATOMIC_POSITIONS angstrom
Ga 0.3631 -1.3875 -1.4364
Ga -3.0755 -2.2813 -3.9581
Cu -1.4066 -0.6100 -3.0785
Cu -5.2690 -1.9480 -2.7625
Cu -3.7305 -3.8987 -2.1176
Cu -1.3058 -3.0588 -2.3160
Sr -3.0211 -1.5571 -0.2274
Sr 0.3087 -2.1117 -5.1671
CELL_PARAMETERS angstrom
-1.2270 2.8242 -3.0382
1.0447 -3.9919 -4.1326
-6.2872 -2.1780 0.5145
! **Calculated formation energy**: -1.0 eV per formula unit
! **Density of states at the Fermi level**: 4.8 states/eV/cell
! **SG**: Pmmn (59)

! Sr2Ga6CuTc | Alexandria | PBE | relaxed; values from VASP
&SYSTEM
  ibrav = 0, nat = 10, ntyp = 4
/
ATOMIC_SPECIES
Ga 69.72 Ga.upf
Sr 87.62 Sr.upf
Tc 98.00 Tc.upf
Cu 63.55 Cu.upf
ATOMIC_POSITIONS angstrom
Ga -4.5973 -0.6122 -2.6629
Ga -9.8758 -2.9330 -3.8628
Ga -2.1812 -0.0894 -4.8771
Ga -7.4597 -2.4101 -6.0770
Ga -7.9266 -0.2547 -3.6003
Ga -4.1304 -2.7677 -5.1396
Sr -6.6356 -3.3223 -2.9108
Sr -5.4214 0.2999 -5.8291
Tc 0.0000 0.0000 0.0000
Cu -2.7746 -1.8595 -3.4541
CELL_PARAMETERS angstrom
-1.5623 1.7630 -6.3711
-3.9869 -5.4819 -0.5372
-6.5078 0.6965 -1.8316
! **Calculated formation energy**: -1.9 eV per formula unit
! **Density of states at the Fermi level**: 6.7 states/eV/cell
! **SG**: Fm-3m (225)

! SrGaCuTe2 | Alexandria | PBE | relaxed; values from VASP
&SYSTEM
  ibrav = 0, nat = 5, ntyp = 4
/
ATOMIC_SPECIES
Sr 87.62 Sr.upf
Ga 69.72 Ga.upf
Te 127.60 Te.upf
Cu 63.55 Cu.upf
ATOMIC_POSITIONS angstrom
Sr 0.0000 2.7259 0.0000
Ga 2.6383 2.7259 2.6383
Te 0.0000 0.0000 2.6383
Te 2.6383 0.0000 0.0000
Cu 0.0000 0.0000 0.0000
CELL_PARAMETERS angstrom
5.2766 0.0000 0.0000
0.0000 5.4518 0.0000
0.0000 0.0000 5.2766
! **Density of states at the Fermi level**: 2.8 states/eV/cell
! **Raw formation energy**: -126 meV per atom
! **SG**: P4/mmm (123)

! Sr2TlGaCu | Alexandria | PBE | relaxed; values from VASP
&SYSTEM
  ibrav = 0, nat = 5, ntyp = 4
/
ATOMIC_SPECIES
Sr 87.62 Sr.upf
Ga 69.72 Ga.upf
Tl 204.38 Tl.upf
Cu 63.55 Cu.upf
ATOMIC_POSITIONS angstrom
Sr -1.4535 1.6491 -1.9632
Sr -1.5928 -2.3493 -0.7941
Ga -1.5656 0.5215 1.5972
Tl -4.6119 -0.1786 -1.1601
Cu 0.0000 0.0000 0.0000
CELL_PARAMETERS angstrom
-2.9071 3.2982 -3.9264
-3.1856 -4.6985 -1.5883
-3.1311 1.0431 3.1945
! **Calculated formation energy**: -1.0 eV per formula unit
! **Density of states at the Fermi level**: 2.8 states/eV/cell
! **SG**: P4/mmm (123)

! SrTmGaCu | Alexandria | PBE | relaxed; values from VASP
&SYSTEM
  ibrav = 0, nat = 4, ntyp = 4
/
ATOMIC_SPECIES
Tm 168.93 Tm.upf
Sr 87.62 Sr.upf
Cu 63.55 Cu.upf
Ga 69.72 Ga.upf
ATOMIC_POSITIONS angstrom
Tm 0.0000 0.0000 0.0000
Sr -1.7615 -3.5914 -4.8827
Cu -2.6422 -5.3870 -7.3241
Ga -0.8807 -1.7957 -2.4414
CELL_PARAMETERS angstrom
-2.3066 0.0015 -4.6088
1.6638 -3.1607 -3.7153
-2.8801 -4.0235 -1.4414
! **Calculated formation energy**: -0.8 eV per formula unit
! **Density of states at the Fermi level**: 5.1 states/eV/cell
! **SG**: F-43m (216)

! SrVGa2Cu | Alexandria | PBE | relaxed; values from VASP
&SYSTEM
  ibrav = 0, nat = 5, ntyp = 4
/
ATOMIC_SPECIES
Sr 87.62 Sr.upf
Cu 63.55 Cu.upf
V 50.94 V.upf
Ga 69.72 Ga.upf
ATOMIC_POSITIONS angstrom
Sr 0.0000 2.8908 0.0000
Cu 2.4685 2.8908 2.4685
V 0.0000 0.0000 0.0000
Ga 2.4685 0.0000 0.0000
Ga 0.0000 0.0000 2.4685
CELL_PARAMETERS angstrom
4.9369 0.0000 0.0000
0.0000 5.7816 0.0000
0.0000 0.0000 4.9369
! **Calculated formation energy**: 3.4 eV per formula unit
! **Density of states at the Fermi level**: 3.0 states/eV/cell
! **SG**: P4/mmm (123)

! Sr2ZnGa4Cu3 | Alexandria | PBE | relaxed; values from VASP
&SYSTEM
  ibrav = 0, nat = 10, ntyp = 4
/
ATOMIC_SPECIES
Ga 69.72 Ga.upf
Cu 63.55 Cu.upf
Sr 87.62 Sr.upf
Zn 65.41 Zn.upf
ATOMIC_POSITIONS angstrom
Ga 0.0000 0.0000 0.0000
Ga -6.3850 0.9727 2.7001
Ga -4.2299 -1.3489 0.0539
Ga -1.5266 1.2417 -2.3326
Cu -2.0416 -0.9593 -1.1708
Cu -4.5441 -0.8090 2.5433
Cu -8.5732 0.5831 3.9249
Sr -2.9084 1.5916 0.7543
Sr -7.7064 -1.9678 1.9997
Zn -6.0707 0.4327 0.2107
CELL_PARAMETERS angstrom
-1.2854 3.9898 -1.0276
-1.7678 -1.5064 -3.6377
-9.0883 -1.6179 5.0867
! **Calculated formation energy**: -3.1 eV per formula unit
! **Density of states at the Fermi level**: 3.3 states/eV/cell
! **SG**: P-4m2 (115)

! SrZn2GaCu | Alexandria | PBE | relaxed; values from VASP
&SYSTEM
  ibrav = 0, nat = 5, ntyp = 4
/
ATOMIC_SPECIES
Zn 65.41 Zn.upf
Cu 63.55 Cu.upf
Ga 69.72 Ga.upf
Sr 87.62 Sr.upf
ATOMIC_POSITIONS angstrom
Zn -2.6246 -0.4374 -1.4304
Zn -0.5333 -0.2185 0.1631
Cu -3.1447 -2.9099 -1.6449
Ga -1.2490 -2.7711 0.0083
Sr -4.2179 -1.7283 1.2895
CELL_PARAMETERS angstrom
-1.4969 0.6627 -4.0080
1.2868 -3.9914 -1.1405
-4.6632 -0.2894 4.0320
! **Calculated formation energy**: -1.2 eV per formula unit
! **Density of states at the Fermi level**: 2.5 states/eV/cell
! **SG**: Imm2 (44)

! Sr3ZnGa2Cu6 | Alexandria | PBE | relaxed; values from VASP
&SYSTEM
  ibrav = 0, nat = 12, ntyp = 4
/
ATOMIC_SPECIES
Sr 87.62 Sr.upf
Cu 63.55 Cu.upf
Ga 69.72 Ga.upf
Zn 65.41 Zn.upf
ATOMIC_POSITIONS angstrom
Sr 0.0000 0.0000 0.0000
Sr 3.1316 1.8080 2.0454
Sr 0.0000 3.6160 5.9191
Cu 0.0000 2.1836 3.1177
Cu 1.8910 1.0918 4.8468
Cu 4.3721 1.0918 4.8468
Cu 1.2405 4.3323 3.1177
Cu -1.2405 4.3323 3.1177
Cu 3.1316 3.2405 4.8468
Ga 0.0000 3.6160 1.0995
Ga 3.1316 1.8080 6.8650
Zn 0.0000 0.0000 3.9823
CELL_PARAMETERS angstrom
6.2631 0.0000 0.0000
-3.1316 5.4240 0.0000
0.0000 0.0000 7.9645
! **Calculated formation energy**: -1.0 eV per formula unit
! **Density of states at the Fermi level**: 7.4 states/eV/cell
! **SG**: P-3m1 (164)

Number 1: VASP energy -3.574 eV/atom, spin magnetization 0.00 μB per formula unit. Number 2: VASP energy -3.384 eV/atom, spin magnetization 0.00 μB per formula unit. Number 3: VASP energy -3.511 eV/atom, spin magnetization 0.00 μB per formula unit. Number 4: VASP energy -3.474 eV/atom, spin magnetization 0.00 μB per formula unit. Number 5: VASP energy -3.786 eV/atom, spin magnetization 0.00 μB per formula unit. Number 6: VASP energy -3.144 eV/atom, spin magnetization 0.00 μB per formula unit. Number 7: VASP energy -2.766 eV/atom, spin magnetization 0.00 μB per formula unit. Number 8: VASP energy -3.517 eV/atom, spin magnetization 0.00 μB per formula unit. Number 9: VASP energy -3.505 eV/atom, spin magnetization 3.83 μB per formula unit. Number 10: VASP energy -3.216 eV/atom, spin magnetization 0.00 μB per formula unit. Number 11: VASP energy -2.517 eV/atom, spin magnetization 0.00 μB per formula unit. Number 12: VASP energy -3.162 eV/atom, spin magnetization 0.00 μB per formula unit.